CrTe2Rh PBE optimized geometry; uncorrected energy = -5.605 eV/atom; energy relative to the lowest polymorph listed for this composition = 350 meV/atom; calculated density = 9.11 g/cm³; magnetic moment = 0.000 μB/atom
1.0
-3.836 2.965 -6.337
-5.101 -0.118 -6.134
-6.349 2.327 -4.234
Cr Rh Te
1 1 2
Direct
0.250 0.250 0.250
0.750 0.750 0.750
0.995 0.995 0.995
0.505 0.505 0.505